Density functional theory data (PBE+U) for a geometry-optimized ZnCr2WO structure.

abc: 4.080 4.080 4.111
angles: 90.00 90.00 90.00
Sites, in units of the cell vectors:
Zn 0.000 0.000 0.000
Cr 0.000 0.500 0.500
Cr 0.500 0.000 0.500
W 0.500 0.500 0.000
O 0.500 0.500 0.500

E_tot: -24.5 eV/cell
total moment: 2.4 μB/f.u.
space-group type: P4/mmm (123)
crystal system: tetragonal